Run one
First-principles (PBE) data for a relaxed NaPdI crystal, as listed in the Alexandria database.

## Properties
* magnetic moment: 0.000 μB per atom
* DOS at the Fermi energy: 0.000 states/eV per cell
* ρ: 5.239 g/cm³

The structure in CIF format:
```
data_NaPdI
_chemical_formula_sum 'Na2 Pd2 I2'
_cell_length_a 4.792
_cell_length_b 5.257
_cell_length_c 6.679
_cell_angle_alpha 89.67
_cell_angle_beta 89.64
_cell_angle_gamma 74.93
_symmetry_space_group_name_H-M 'P 1'
_symmetry_Int_Tables_number 1
loop_
_symmetry_equiv_pos_as_xyz
'x,y,z'
loop_
_atom_site_label
_atom_site_fract_x
_atom_site_fract_y
_atom_site_fract_z
Na1 0.000 0.000 0.000
Na2 0.496 0.497 0.570
Pd1 0.115 0.420 0.251
Pd2 0.614 0.919 0.318
I1 0.040 0.052 0.518
I2 0.544 0.555 0.051
```


Run two
First-principles (PBE) data for a relaxed NaPdI crystal, as listed in the Alexandria database.

## Properties
* magnetic moment: 0.000 μB per atom
* DOS at the Fermi energy: 0.000 states/eV per cell
* ρ: 5.082 g/cm³

The structure in CIF format:
```
data_NaPdI
_chemical_formula_sum 'Na4 Pd4 I4'
_cell_length_a 8.389
_cell_length_b 4.866
_cell_length_c 8.292
_cell_angle_alpha 90.00
_cell_angle_beta 98.28
_cell_angle_gamma 90.00
_symmetry_space_group_name_H-M 'C 1 m 1'
_symmetry_Int_Tables_number 8
loop_
_symmetry_equiv_pos_as_xyz
'x,y,z'
'x,-y,z'
'x+1/2,y+1/2,z'
'x+1/2,-y+1/2,z'
loop_
_atom_site_label
_atom_site_fract_x
_atom_site_fract_y
_atom_site_fract_z
Na1 0.000 0.000 0.000
Na2 0.231 0.000 0.555
Pd1 0.051 0.500 0.468
Pd2 0.379 0.500 0.344
I1 0.143 0.500 0.786
I2 0.358 0.000 0.196
```


Most stable: run two (next structure +4.6 kJ/mol of atoms)


Run one
First-principles (PBE) data for a relaxed KTl2Te crystal, as listed in the Alexandria database.

## Properties
* magnetic moment: 0.000 μB per atom
* DOS at the Fermi energy: 4.104 states/eV per cell
* ρ: 6.428 g/cm³

The structure in CIF format:
```
data_KTl2Te
_chemical_formula_sum 'K2 Tl4 Te2'
_cell_length_a 12.166
_cell_length_b 4.363
_cell_length_c 6.296
_cell_angle_alpha 90.00
_cell_angle_beta 117.17
_cell_angle_gamma 90.00
_symmetry_space_group_name_H-M 'C 1 m 1'
_symmetry_Int_Tables_number 8
loop_
_symmetry_equiv_pos_as_xyz
'x,y,z'
'x,-y,z'
'x+1/2,y+1/2,z'
'x+1/2,-y+1/2,z'
loop_
_atom_site_label
_atom_site_fract_x
_atom_site_fract_y
_atom_site_fract_z
K1 0.000 0.000 0.000
Tl1 0.181 0.000 0.634
Tl2 0.404 0.000 0.455
Te1 0.233 0.500 0.050
```


Run two
First-principles (PBE) data for a relaxed KTl2Te crystal, as listed in the Alexandria database.

## Properties
* magnetic moment: 0.000 μB per atom
* DOS at the Fermi energy: 17.854 states/eV per cell
* ρ: 6.942 g/cm³

The structure in CIF format:
```
data_KTl2Te
_chemical_formula_sum 'K4 Tl8 Te4'
_cell_length_a 8.196
_cell_length_b 8.196
_cell_length_c 8.196
_cell_angle_alpha 90.00
_cell_angle_beta 90.00
_cell_angle_gamma 90.00
_symmetry_space_group_name_H-M 'F -4 3 m'
_symmetry_Int_Tables_number 216
_symmetry_space_group_name_Hall 'F -4 2 3'
loop_
_atom_site_label
_atom_site_fract_x
_atom_site_fract_y
_atom_site_fract_z
K1 0.000 0.000 0.000
Tl1 0.000 0.000 0.500
Tl2 0.250 0.250 0.750
Te1 0.250 0.250 0.250
```


Most stable: run one (next structure +8.8 kJ/mol of atoms)


Run one
First-principles (PBE) data for a relaxed BC3 crystal, as listed in the Alexandria database.

## Properties
* magnetic moment: 0.000 μB per atom
* DOS at the Fermi energy: 2.161 states/eV per cell
* ρ: 3.158 g/cm³

The structure in CIF format:
```
data_BC3
_chemical_formula_sum 'B3 C9'
_cell_length_a 2.5448
_cell_length_b 2.5448
_cell_length_c 13.1763
_cell_angle_alpha 90.00
_cell_angle_beta 90.00
_cell_angle_gamma 120.00
_symmetry_space_group_name_H-M 'P 3 m 1'
_symmetry_Int_Tables_number 156
loop_
_symmetry_equiv_pos_as_xyz
'x,y,z'
'-y,x-y,z'
'-x+y,-x,z'
'-y,-x,z'
'-x+y,y,z'
'x,x-y,z'
loop_
_atom_site_label
_atom_site_fract_x
_atom_site_fract_y
_atom_site_fract_z
B1 0.0000 0.0000 0.0000
B2 0.3333 0.6667 0.0792
B3 0.6667 0.3333 0.7185
C1 0.0000 0.0000 0.3954
C2 0.0000 0.0000 0.5131
C3 0.0000 0.0000 0.8802
C4 0.3333 0.6667 0.1996
C5 0.3333 0.6667 0.5530
C6 0.3333 0.6667 0.6677
C7 0.6667 0.3333 0.2387
C8 0.6667 0.3333 0.3567
C9 0.6667 0.3333 0.8418
```


Run two
First-principles (PBE) data for a relaxed BC3 crystal, as listed in the Alexandria database.

## Properties
* magnetic moment: 0.000 μB per atom
* DOS at the Fermi energy: 1.066 states/eV per cell
* ρ: 2.804 g/cm³

The structure in CIF format:
```
data_BC3
_chemical_formula_sum 'B3 C9'
_cell_length_a 2.6091
_cell_length_b 2.6091
_cell_length_c 14.1173
_cell_angle_alpha 90.00
_cell_angle_beta 90.00
_cell_angle_gamma 120.00
_symmetry_space_group_name_H-M 'P 3 m 1'
_symmetry_Int_Tables_number 156
loop_
_symmetry_equiv_pos_as_xyz
'x,y,z'
'-y,x-y,z'
'-x+y,-x,z'
'-y,-x,z'
'-x+y,y,z'
'x,x-y,z'
loop_
_atom_site_label
_atom_site_fract_x
_atom_site_fract_y
_atom_site_fract_z
B1 0.0000 0.0000 0.0000
B2 0.0000 0.0000 0.2489
B3 0.0000 0.0000 0.6777
C1 0.0000 0.0000 0.5634
C2 0.3333 0.6667 0.2638
C3 0.3333 0.6667 0.3811
C4 0.3333 0.6667 0.7254
C5 0.3333 0.6667 0.8318
C6 0.6667 0.3333 0.4168
C7 0.6667 0.3333 0.5272
C8 0.6667 0.3333 0.8694
C9 0.6667 0.3333 0.9851
```


Run three
First-principles (PBE) data for a relaxed BC3 crystal, as listed in the Alexandria database.

## Properties
* magnetic moment: 0.000 μB per atom
* DOS at the Fermi energy: 1.583 states/eV per cell
* ρ: 2.899 g/cm³

The structure in CIF format:
```
data_BC3
_chemical_formula_sum 'B3 C9'
_cell_length_a 2.6110
_cell_length_b 2.6110
_cell_length_c 13.6327
_cell_angle_alpha 90.00
_cell_angle_beta 90.00
_cell_angle_gamma 120.00
_symmetry_space_group_name_H-M 'P 3 m 1'
_symmetry_Int_Tables_number 156
loop_
_symmetry_equiv_pos_as_xyz
'x,y,z'
'-y,x-y,z'
'-x+y,-x,z'
'-y,-x,z'
'-x+y,y,z'
'x,x-y,z'
loop_
_atom_site_label
_atom_site_fract_x
_atom_site_fract_y
_atom_site_fract_z
B1 0.0000 0.0000 0.0000
B2 0.0000 0.0000 0.2304
B3 0.3333 0.6667 0.3641
C1 0.0000 0.0000 0.5617
C2 0.0000 0.0000 0.6748
C3 0.3333 0.6667 0.2411
C4 0.3333 0.6667 0.7125
C5 0.3333 0.6667 0.8260
C6 0.6667 0.3333 0.4121
C7 0.6667 0.3333 0.5227
C8 0.6667 0.3333 0.8636
C9 0.6667 0.3333 0.9830
```


Most stable: run three (next structure +1.4 kJ/mol of atoms)